{
  "formula": "YCuSe2",
  "functional": "GGA-PBE",
  "state": "relaxed",
  "m_tot_mub_per_fu": 0.000,
  "formation_energy_uncorrected_ev_per_atom": -1.219,
  "e_tot_ev_per_atom": -5.60,
  "lattice": [[-4.362, -4.919, 0.749], [1.758, 0.484, 6.869], [-5.355, 4.904, 1.025]],
  "species": ["Se", "Se", "Se", "Se", "Cu", "Cu", "Se", "Y", "Cu", "Cu", "Y", "Y", "Se", "Se", "Y", "Se"],
  "fractional_positions": [[0.401, 0.218, 0.113], [0.599, 0.782, 0.887], [0.070, 0.997, 0.725], [0.930, 0.003, 0.275], [0.425, 0.955, 0.658], [0.425, 0.455, 0.842], [0.930, 0.503, 0.225], [0.196, 0.299, 0.458], [0.575, 0.545, 0.158], [0.575, 0.045, 0.342], [0.804, 0.701, 0.542], [0.196, 0.799, 0.042], [0.599, 0.282, 0.613], [0.070, 0.497, 0.775], [0.804, 0.201, 0.958], [0.401, 0.718, 0.387]]
}